Entry 1:
MgSc2W, optimized geometry, DFT PBE; formation enthalpy at 0 K = 124.0 meV per atom; total magnetization = 0.00 μB/cell; ρ = 5.97 Mg/m³; total DFT energy (no corrections) = -6.68 eV/atom
1.0
-2.9396 -0.1202 0.3602
0.7994 -2.8066 -0.5189
1.2294 -1.4171 9.5592
W Sc Mg
1 2 1
direct
0.5000 0.5000 0.2500 W
0.0000 0.0000 0.0275 Sc
0.0000 0.0000 0.4725 Sc
0.5000 0.5000 0.7500 Mg

=====

Entry 2:
MgScW2, optimized geometry, DFT PBE; formation enthalpy at 0 K = 360.7 meV per atom; total magnetization = 0.00 μB/cell; ρ = 9.96 Mg/m³; total DFT energy (no corrections) = -8.10 eV/atom
1.0
-1.6039 0.1858 -2.2275
-1.9053 -1.5473 1.2428
-4.0912 7.9353 3.6077
W Sc Mg
2 1 1
direct
0.0000 0.0000 0.0045 W
0.5000 0.5000 0.2454 W
0.5000 0.5000 0.7662 Sc
0.0000 0.0000 0.4839 Mg

=====

Entry 3:
MgSc2W, optimized geometry, DFT PBE; formation enthalpy at 0 K = 266.8 meV per atom; total magnetization = 0.00 μB/cell; ρ = 6.14 Mg/m³; total DFT energy (no corrections) = -6.54 eV/atom
1.0
-3.2107 3.7196 1.6289
-3.4469 -3.3125 -1.9859
-0.2300 -1.3855 2.7104
Sc W Mg
2 1 1
direct
0.0000 0.0000 0.0000 Sc
0.5000 0.5000 0.0000 Sc
0.5000 0.0000 0.5000 W
0.0000 0.5000 0.5000 Mg

=====

Entry 4:
MgSc2W, optimized geometry, DFT PBE; formation enthalpy at 0 K = 415.6 meV per atom; total magnetization = 0.00 μB/cell; ρ = 6.28 Mg/m³; total DFT energy (no corrections) = -6.39 eV/atom
1.0
4.8115 0.0000 0.0000
2.4058 4.1669 0.0000
2.4058 1.3890 3.9286
Sc Mg W
2 1 1
direct
0.2500 0.2500 0.2500 Sc
0.0000 0.0000 0.0000 Sc
0.5000 0.5000 0.5000 Mg
0.7500 0.7500 0.7500 W

=====

Entry 5:
MgScW2, optimized geometry, DFT PBE; formation enthalpy at 0 K = 481.8 meV per atom; total magnetization = 0.00 μB/cell; ρ = 10.09 Mg/m³; total DFT energy (no corrections) = -7.98 eV/atom
1.0
-7.8396 -6.0815 0.2581
-6.0334 -7.6412 1.9286
-7.6413 -5.5185 3.1092
W Mg Sc
2 1 1
direct
0.9995 0.9995 0.9995 W
0.5005 0.5005 0.5005 W
0.2500 0.2500 0.2500 Mg
0.7500 0.7500 0.7500 Sc

=====

Entry 6:
MgSc2W2, optimized geometry, DFT PBE; formation enthalpy at 0 K = 397.6 meV per atom; offset from the most stable computed form = 0 meV/atom; total magnetization = 0.00 μB/cell; ρ = 7.81 Mg/m³; total DFT energy (no corrections) = -7.64 eV/atom
1.0
-6.7259 -2.2017 2.2115
2.6899 -6.7542 1.4565
0.7954 1.0676 3.4820
W Sc Mg
4 4 2
direct
0.3846 0.8846 0.0000 W
0.6154 0.1154 0.0000 W
0.8846 0.6154 0.0000 W
0.1154 0.3846 0.0000 W
0.8250 0.3250 0.5000 Sc
0.1750 0.6750 0.5000 Sc
0.3250 0.1750 0.5000 Sc
0.6750 0.8250 0.5000 Sc
0.0000 0.0000 0.0000 Mg
0.5000 0.5000 0.0000 Mg